[1]
## Na2B8O13 (SCAN)

Data for a crystal of Na2B8O13 relaxed with PBEsol.

Unit cell a=8.105 b=10.501 c=11.631 alpha=100.27 beta=90.00 gamma=90.00
Fractional coordinates of all 92 atoms:
1 Na 0.472 0.469 0.885
2 Na 0.539 0.017 0.112
3 Na 0.039 0.983 0.888
4 Na 0.972 0.531 0.115
5 Na 0.399 0.719 0.436
6 Na 0.250 0.212 0.351
7 Na 0.899 0.281 0.564
8 Na 0.750 0.788 0.649
9 O 0.234 0.526 0.422
10 O 0.414 0.696 0.881
11 O 0.572 0.795 0.114
12 O 0.432 0.462 0.091
13 O 0.107 0.373 0.273
14 O 0.456 0.280 0.189
15 O 0.317 0.915 0.912
16 O 0.268 0.269 0.034
17 O 0.137 0.539 0.756
18 O 0.497 0.085 0.316
19 O 0.161 0.722 0.665
20 O 0.661 0.278 0.335
21 O 0.866 0.968 0.246
22 O 0.181 0.420 0.913
23 O 0.006 0.591 0.318
24 O 0.270 0.027 0.421
25 O 0.540 0.938 0.453
26 O 0.709 0.238 0.978
27 O 0.932 0.538 0.909
28 O 0.209 0.762 0.022
29 O 0.309 0.356 0.527
30 O 0.956 0.720 0.811
31 O 0.072 0.205 0.886
32 O 0.040 0.062 0.547
33 O 0.065 0.962 0.087
34 O 0.607 0.627 0.727
35 O 0.768 0.731 0.966
36 O 0.479 0.650 0.238
37 O 0.637 0.461 0.244
38 O 0.393 0.868 0.275
39 O 0.809 0.644 0.473
40 O 0.979 0.350 0.762
41 O 0.028 0.155 0.231
42 O 0.343 0.214 0.661
43 O 0.506 0.409 0.682
44 O 0.200 0.866 0.533
45 O 0.700 0.134 0.467
46 O 0.893 0.132 0.725
47 O 0.515 0.227 0.829
48 O 0.914 0.304 0.119
49 O 0.681 0.580 0.087
50 O 0.817 0.085 0.088
51 O 0.734 0.474 0.578
52 O 0.843 0.786 0.339
53 O 0.366 0.032 0.754
54 O 0.528 0.845 0.769
55 O 0.770 0.973 0.579
56 O 0.961 0.444 0.453
57 O 0.565 0.038 0.913
58 O 0.997 0.915 0.684
59 O 0.461 0.556 0.547
60 O 0.015 0.773 0.171
61 B 0.409 0.155 0.747
62 B 0.832 0.519 0.500
63 B 0.815 0.205 0.061
64 B 0.390 0.328 0.626
65 B 0.098 0.837 0.094
66 B 0.427 0.977 0.368
67 B 0.315 0.795 0.939
68 B 0.619 0.163 0.370
69 B 0.674 0.698 0.055
70 B 0.086 0.657 0.744
71 B 0.014 0.277 0.210
72 B 0.944 0.042 0.165
73 B 0.332 0.481 0.500
74 B 0.909 0.845 0.253
75 B 0.481 0.771 0.211
76 B 0.927 0.023 0.632
77 B 0.883 0.657 0.895
78 B 0.171 0.987 0.501
79 B 0.174 0.302 0.945
80 B 0.119 0.837 0.630
81 B 0.598 0.163 0.906
82 B 0.586 0.343 0.256
83 B 0.981 0.229 0.789
84 B 0.576 0.517 0.632
85 B 0.076 0.483 0.368
86 B 0.557 0.538 0.167
87 B 0.383 0.343 0.105
88 B 0.890 0.672 0.374
89 B 0.671 0.013 0.499
90 B 0.057 0.462 0.833
91 B 0.444 0.958 0.835
92 B 0.514 0.723 0.790

Output
Energy relative to the elements, uncorrected (eV/atom): -2.60
Space group: P2_1

[2]
## CaTlCd2 (SCAN)

Data for a crystal of CaTlCd2 relaxed with PBEsol.

Unit cell a=3.887 b=3.887 c=6.660 alpha=90.00 beta=90.00 gamma=90.00
Fractional coordinates of all 4 atoms:
1 Cd 0.000 0.000 0.757
2 Cd 0.000 0.000 0.243
3 Ca 0.500 0.500 0.500
4 Tl 0.500 0.500 0.000

Output
Space group: P4/mmm
Calculated total energy (eV per atom): -35.95

[3]
## InGaAs3 (SCAN)

Data for a crystal of InGaAs3 relaxed with PBEsol.

Unit cell a=4.891 b=4.891 c=4.891 alpha=90.00 beta=90.00 gamma=90.00
Fractional coordinates of all 5 atoms:
1 Ga 0.000 0.000 0.000
2 As 0.500 0.000 0.000
3 As 0.000 0.500 0.000
4 As 0.000 0.000 0.500
5 In 0.500 0.500 0.500

Output
Space group: Pm-3m
Calculated total energy (eV per atom): -21.41

[4]
## LaZrSc2 (SCAN)

Data for a crystal of LaZrSc2 relaxed with PBEsol.

Unit cell a=3.288 b=3.288 c=10.855 alpha=81.29 beta=81.29 gamma=60.00
Fractional coordinates of all 4 atoms:
1 La 0.500 0.500 0.500
2 Zr 0.000 0.000 0.000
3 Sc 0.256 0.256 0.232
4 Sc 0.744 0.744 0.768

Output
Space group: R-3m
Calculated total energy (eV per atom): -25.47

[5]
## YMnNi2 (SCAN)

Data for a crystal of YMnNi2 relaxed with PBEsol.

Unit cell a=4.010 b=4.010 c=5.097 alpha=66.83 beta=66.83 gamma=60.00
Fractional coordinates of all 4 atoms:
1 Y 0.500 0.500 0.500
2 Ni 0.700 0.700 0.899
3 Ni 0.300 0.300 0.101
4 Mn 0.000 0.000 0.000

Output
Space group: R-3m
Calculated total energy (eV per atom): -19.96

[6]
## IrRu (SCAN)

Data for a crystal of IrRu relaxed with PBEsol.

Unit cell a=2.710 b=4.299 c=4.696 alpha=90.00 beta=90.00 gamma=90.00
Fractional coordinates of all 4 atoms:
1 Ru 0.500 0.000 0.082
2 Ru 0.000 0.500 0.918
3 Ir 0.000 0.000 0.586
4 Ir 0.500 0.500 0.414

Output
Space group: Pmmn
Calculated total energy (eV per atom): -53.01